# SrNd5Bi4 PBE relaxed
# Total magnetization (μB per formula unit): 0.00
# ρ (kg/m3): 7189
# VASP energy (eV per atom): -4.581
# Formation energy (meV per atom): -476
# Symmetry: Pmmn, No. 59
# Calculated volume (Å³/cell): 759.8
data_SrNd5Bi4
_cell_length_a 10.836
_cell_length_b 11.107
_cell_length_c 6.313
_cell_angle_alpha 90.00
_cell_angle_beta 90.00
_cell_angle_gamma 90.00
_symmetry_space_group_name_H-M 'P 1'
_symmetry_Int_Tables_number 1
loop_
_symmetry_equiv_pos_as_xyz
'x,y,z'
loop_
_atom_site_label
_atom_site_type_symbol
_atom_site_fract_x
_atom_site_fract_y
_atom_site_fract_z
Sr1 Sr 0.250 0.250 0.000
Sr2 Sr 0.750 0.750 0.000
Nd1 Nd 0.000 0.000 0.255
Nd2 Nd 0.000 0.000 0.745
Nd3 Nd 0.000 0.500 0.255
Nd4 Nd 0.000 0.500 0.745
Nd5 Nd 0.250 0.750 0.498
Nd6 Nd 0.500 0.000 0.255
Nd7 Nd 0.500 0.000 0.745
Nd8 Nd 0.500 0.500 0.255
Nd9 Nd 0.500 0.500 0.745
Nd10 Nd 0.750 0.250 0.502
Bi1 Bi 0.062 0.250 0.500
Bi2 Bi 0.250 0.581 0.000
Bi3 Bi 0.250 0.919 0.000
Bi4 Bi 0.438 0.250 0.500
Bi5 Bi 0.562 0.750 0.500
Bi6 Bi 0.750 0.081 0.000
Bi7 Bi 0.750 0.419 0.000
Bi8 Bi 0.938 0.750 0.500